(1)
This record from the Alexandria database describes a crystal of Ti3Fe2CuP6O24 relaxed with PBEsol. The functional is SCAN.

Computed properties:
E_tot in eV/atom: -11.126
Crystal system: trigonal
Formation energy from raw total energies in eV/atom: -2.47
Symmetry: No. 146
Density in g/cm³: 3.4

extended XYZ file:
```
36
Lattice="-3.060 -5.158 -5.808 -2.588 -7.547 2.459 -8.216 -1.485 0.040" Properties=species:S:1:pos:R:3 pbc="T T T"
Cu -2.014 -2.061 -0.481
O -9.625 -5.348 -0.016
O -6.852 -5.014 -1.955
O -5.475 -11.129 -2.003
O -11.204 -11.956 -1.114
O -8.056 -7.802 -3.370
O -7.031 -9.252 -1.446
O -9.986 -7.504 1.349
O -10.677 -8.653 -2.528
O -4.421 -3.919 -2.560
O -8.319 -3.032 -1.376
O -9.262 -6.673 -5.247
O -12.318 -10.385 -3.185
O -10.272 -12.248 -3.768
O -3.229 -5.536 -0.620
O -5.199 -9.705 0.127
O -4.968 -6.766 -2.334
O -5.928 -6.385 0.052
O -3.807 -6.693 -4.584
O -8.926 -7.524 -0.917
O -9.325 -10.376 -0.804
O -4.625 -7.420 1.962
O -6.704 -6.981 -5.250
O -8.702 -10.351 -3.520
O -5.240 -3.739 0.103
P -6.147 -10.379 -0.801
P -7.661 -3.805 -2.519
P -8.026 -7.582 -4.924
P -10.004 -6.786 -0.046
P -3.837 -7.378 -3.218
P -5.831 -6.554 1.601
Fe -6.969 -7.133 -1.663
Fe -0.080 -0.082 -0.019
Ti -4.952 -5.069 -1.182
Ti -11.917 -12.197 -2.845
Ti -8.901 -9.110 -2.125
```

(2)
This record from the Alexandria database describes a crystal of Sr2FeCuPb2O6 relaxed with PBEsol. The functional is SCAN.

Computed properties:
E_tot in eV/atom: -24.082
Crystal system: monoclinic
Formation energy from raw total energies in eV/atom: -1.85
Symmetry: No. 10
Density in g/cm³: 7.6

extended XYZ file:
```
12
Lattice="-0.922 3.191 1.736 -3.648 -0.724 -0.607 -0.297 -5.989 10.853" Properties=species:S:1:pos:R:3 pbc="T T T"
O -2.551 -2.863 7.954
O -3.378 -1.533 1.024
O -0.566 -5.180 9.222
O -0.610 -1.399 6.294
O -1.972 -3.357 5.123
O -2.316 -0.659 4.027
Cu 0.000 0.000 0.000
Pb -2.570 -3.909 9.867
Pb -2.296 0.387 2.114
Sr -3.708 -2.834 3.240
Sr -0.237 -3.879 7.006
Fe -2.433 -1.761 5.991
```

(3)
This record from the Alexandria database describes a crystal of PrFe4Cu3O12 relaxed with PBEsol. The functional is SCAN.

Computed properties:
E_tot in eV/atom: -13.413
Crystal system: cubic
Formation energy from raw total energies in eV/atom: -1.60
Symmetry: No. 204
Density in g/cm³: 6.7

extended XYZ file:
```
20
Lattice="-1.585 -6.016 -0.053 0.759 1.996 -5.843 5.321 0.715 3.143" Properties=species:S:1:pos:R:3 pbc="T T T"
Pr 0.000 0.000 0.000
O 4.079 1.161 -2.939
O 0.416 -4.466 0.186
O 2.262 -2.178 -3.208
O 0.421 -2.179 -1.240
O 2.233 -1.127 0.455
O 1.704 0.102 -1.885
O 4.074 -1.125 -1.513
O 2.791 -3.407 -0.868
O 3.693 -3.197 1.663
O 0.099 -3.750 -3.543
O 0.802 -0.107 -4.415
O 4.397 0.445 0.790
Cu 1.868 -2.650 1.545
Cu 3.040 1.356 -1.350
Cu -0.413 -2.010 -2.948
Fe -0.792 -3.008 -0.026
Fe 2.248 -1.652 -1.376
Fe 0.379 0.998 -2.922
Fe 2.661 0.358 1.572
```

(4)
This record from the Alexandria database describes a crystal of Sr3Fe2Cu2S2O5 relaxed with PBEsol. The functional is SCAN.

Computed properties:
E_tot in eV/atom: -15.047
Crystal system: tetragonal
Formation energy from raw total energies in eV/atom: -1.91
Symmetry: No. 139
Density in g/cm³: 5.6

extended XYZ file:
```
14
Lattice="-2.193 -1.923 -2.499 2.090 -3.165 0.602 -7.942 -0.897 10.611" Properties=species:S:1:pos:R:3 pbc="T T T"
Cu -2.952 -3.303 5.132
Cu -5.093 -2.682 3.582
O -7.818 -3.855 6.875
O -2.368 -1.509 0.288
O -5.677 -4.476 8.425
O -0.227 -2.130 1.838
O 0.000 0.000 0.000
S -4.903 -4.632 4.915
S -3.143 -1.353 3.798
Fe -1.158 -0.498 1.399
Fe -6.888 -5.487 7.314
Sr -5.738 -2.470 6.935
Sr -2.308 -3.515 1.778
Sr -0.052 -2.544 -0.949
```

(5)
This record from the Alexandria database describes a crystal of Sr3Fe2Cu2Se2O5 relaxed with PBEsol. The functional is SCAN.

Computed properties:
E_tot in eV/atom: -16.499
Crystal system: tetragonal
Formation energy from raw total energies in eV/atom: -1.87
Symmetry: No. 139
Density in g/cm³: 6.1

extended XYZ file:
```
14
Lattice="-1.044 3.514 -1.287 -2.612 0.272 2.863 11.032 3.721 7.076" Properties=species:S:1:pos:R:3 pbc="T T T"
Sr 0.679 3.422 2.930
Sr -1.828 1.893 0.788
Sr 6.697 4.085 5.722
Cu 3.296 2.943 5.364
Cu 4.080 4.564 3.289
Fe 6.082 6.717 7.547
Fe 1.294 0.789 1.106
O 6.482 4.886 8.086
O 0.000 0.000 0.000
O 7.266 6.507 6.011
O 0.110 1.000 2.642
O 0.894 2.621 0.567
Se 3.824 5.340 5.617
Se 3.552 2.167 3.035
```

(6)
This record from the Alexandria database describes a crystal of TbFe4Cu3O12 relaxed with PBEsol. The functional is SCAN.

Computed properties:
E_tot in eV/atom: -13.611
Crystal system: cubic
Formation energy from raw total energies in eV/atom: -1.63
Symmetry: No. 204
Density in g/cm³: 7.0

extended XYZ file:
```
20
Lattice="6.169 0.000 0.000 -2.056 5.816 0.000 -2.056 -2.908 5.037" Properties=species:S:1:pos:R:3 pbc="T T T"
O -0.089 4.425 0.622
O -0.508 1.907 1.516
O -2.145 3.065 3.521
O 2.564 1.001 3.521
O 2.145 -1.517 4.415
O 0.089 1.674 4.143
O -1.548 -0.642 4.143
O 4.202 -0.157 1.516
O 1.548 3.267 2.628
O 0.508 -0.359 2.409
O 1.967 1.234 0.894
O 3.605 3.550 0.894
Fe -1.028 2.908 0.000
Fe 1.028 1.454 2.518
Fe 3.085 0.000 0.000
Fe -1.028 -1.454 2.518
Cu -2.056 1.454 2.518
Cu 2.056 -1.454 2.518
Cu 2.056 2.908 0.000
Tb 0.000 0.000 0.000
```

Repeat the first record exactly.
This record from the Alexandria database describes a crystal of Ti3Fe2CuP6O24 relaxed with PBEsol. The functional is SCAN.

Computed properties:
E_tot in eV/atom: -11.126
Crystal system: trigonal
Formation energy from raw total energies in eV/atom: -2.47
Symmetry: No. 146
Density in g/cm³: 3.4

extended XYZ file:
```
36
Lattice="-3.060 -5.158 -5.808 -2.588 -7.547 2.459 -8.216 -1.485 0.040" Properties=species:S:1:pos:R:3 pbc="T T T"
Cu -2.014 -2.061 -0.481
O -9.625 -5.348 -0.016
O -6.852 -5.014 -1.955
O -5.475 -11.129 -2.003
O -11.204 -11.956 -1.114
O -8.056 -7.802 -3.370
O -7.031 -9.252 -1.446
O -9.986 -7.504 1.349
O -10.677 -8.653 -2.528
O -4.421 -3.919 -2.560
O -8.319 -3.032 -1.376
O -9.262 -6.673 -5.247
O -12.318 -10.385 -3.185
O -10.272 -12.248 -3.768
O -3.229 -5.536 -0.620
O -5.199 -9.705 0.127
O -4.968 -6.766 -2.334
O -5.928 -6.385 0.052
O -3.807 -6.693 -4.584
O -8.926 -7.524 -0.917
O -9.325 -10.376 -0.804
O -4.625 -7.420 1.962
O -6.704 -6.981 -5.250
O -8.702 -10.351 -3.520
O -5.240 -3.739 0.103
P -6.147 -10.379 -0.801
P -7.661 -3.805 -2.519
P -8.026 -7.582 -4.924
P -10.004 -6.786 -0.046
P -3.837 -7.378 -3.218
P -5.831 -6.554 1.601
Fe -6.969 -7.133 -1.663
Fe -0.080 -0.082 -0.019
Ti -4.952 -5.069 -1.182
Ti -11.917 -12.197 -2.845
Ti -8.901 -9.110 -2.125
```

Q: The lowest density belongs to which entry?
A: Ti3Fe2CuP6O24